{"formula": "PtCS2Cl", "functional": "PBE-GGA", "state": "optimized geometry", "cell": [[4.705, 0.000, 0.000], [0.000, 4.705, 0.000], [0.000, 0.000, 4.878]], "species": ["S", "S", "Cl", "C", "Pt"], "fractional_positions": [[0.000, 0.500, 0.000], [0.500, 0.000, 0.000], [0.000, 0.000, 0.500], [0.500, 0.500, 0.500], [0.000, 0.000, 0.000]], "e_form_raw_ev_per_atom": 1.7271, "magmom_total_mub_per_fu": 0.4, "polymorph_energy_mev_per_atom": 551}


{"formula": "Ti6CoRh2", "functional": "PBE-GGA", "state": "optimized geometry", "cell": [[4.191, 0.000, -0.159], [0.000, 5.982, 0.000], [-1.848, -2.991, 6.381]], "species": ["Ti", "Ti", "Ti", "Ti", "Ti", "Ti", "Rh", "Rh", "Co"], "fractional_positions": [[0.500, 0.761, 0.000], [0.838, 0.082, 0.676], [0.500, 0.239, 0.000], [0.838, 0.594, 0.676], [0.162, 0.406, 0.324], [0.162, 0.918, 0.324], [0.334, 0.334, 0.668], [0.666, 0.666, 0.332], [0.000, 0.000, 0.000]], "magmom_total_mub_per_fu": 0.0, "formation_energy_ev_per_atom": -0.178}